Entry 1:
SrTe2As: optimized geometry, PBEsol.

Unit cell a=4.4516 b=4.4516 c=6.4769 alpha=90.00 beta=90.00 gamma=90.00
With the nearest neighbours (Å) after each atom.
Element x y z (fractional)
Te1 0.0000 0.0000 0.9297  1 As 2.67
Te2 0.5000 0.5000 0.3656  4 As 3.15, 2 Sr 3.22-3.26
Sr1 0.5000 0.5000 0.8624  6 Te 3.18-3.26
As1 0.0000 0.0000 0.3424  1 Te 2.67

Summary:
**Total DFT energy (no corrections)**: -4.16 eV per atom
**Formation energy from raw total energies**: -0.658 eV/atom

---

Entry 2:
Sr2TeAs: optimized geometry, PBEsol.

Unit cell a=4.5439 b=4.5618 c=6.4614 alpha=90.00 beta=89.99 gamma=90.00
With the nearest neighbours (Å) after each atom.
Element x y z (fractional)
As1 0.0000 0.0000 0.5000  6 Sr 3.22-3.23
Sr1 0.0000 0.0000 0.0000  4 Te 3.22, 2 As 3.23
Sr2 0.5000 0.5000 0.5000  4 As 3.22, 2 Te 3.23
Te1 0.5000 0.5000 0.0000  6 Sr 3.22-3.23

Summary:
**ΔE to the lowest computed polymorph**: 0.000 eV per atom
**Total DFT energy (no corrections)**: -4.27 eV per atom
**Formation energy from raw total energies**: -1.195 eV/atom

---

Entry 3:
SrTe2As: optimized geometry, PBEsol.

Unit cell a=4.2179 b=5.4266 c=5.9559 alpha=117.10 beta=110.74 gamma=90.00
With the nearest neighbours (Å) after each atom.
Element x y z (fractional)
Te1 0.9720 0.9720 0.9439  2 Te 3.16, 4 Sr 3.45-3.46, 4 As 3.51
Te2 0.2307 0.7307 0.4614  2 As 2.79
As1 0.5436 0.5436 0.0872  2 Te 2.79
Sr1 0.7537 0.2537 0.5075  4 As 3.40-3.52, 8 Te 3.44-3.46

Summary:
**Total DFT energy (no corrections)**: -4.07 eV per atom
**Formation energy from raw total energies**: -0.574 eV/atom

---

Entry 4:
SrTeAs2: optimized geometry, PBEsol.

Unit cell a=4.1745 b=4.1745 c=7.5675 alpha=73.99 beta=73.99 gamma=60.00
With the nearest neighbours (Å) after each atom.
Element x y z (fractional)
Te1 0.0000 0.0000 0.0000  6 As 2.88
Sr1 0.5000 0.5000 0.5000  6 As 3.13
As1 0.7403 0.7403 0.7790  3 Te 2.88, 3 Sr 3.13
As2 0.2597 0.2597 0.2210  3 Te 2.88, 3 Sr 3.13

Summary:
**Total DFT energy (no corrections)**: -4.26 eV per atom
**Formation energy from raw total energies**: -0.367 eV/atom

---

Entry 5:
Sr2TeAs: optimized geometry, PBEsol.

Unit cell a=3.6354 b=3.9704 c=8.1228 alpha=90.00 beta=90.01 gamma=90.00
With the nearest neighbours (Å) after each atom.
Element x y z (fractional)
Sr1 0.9995 0.0000 0.2660  4 As 3.29-3.30, 4 Te 3.45, 2 Sr 3.64
Sr2 0.0005 0.0000 0.7340  4 As 3.29-3.30, 4 Te 3.45, 2 Sr 3.64
Te1 0.5000 0.5000 0.0000  8 Sr 3.45, 2 Te 3.64
As1 0.5000 0.5000 0.5000  8 Sr 3.29-3.30, 2 As 3.64

Summary:
**ΔE to the lowest computed polymorph**: 0.043 eV per atom
**Total DFT energy (no corrections)**: -4.23 eV per atom
**Formation energy from raw total energies**: -1.153 eV/atom

---

Entry 6:
SrTe2As: optimized geometry, PBEsol.

Unit cell a=4.2825 b=4.2825 c=6.0946 alpha=90.00 beta=90.00 gamma=90.00
With the nearest neighbours (Å) after each atom.
Element x y z (fractional)
Te1 0.0000 0.0000 0.2418  2 Te 2.95-3.15
Te2 0.0000 0.0000 0.7582  2 Te 2.95-3.15
Sr1 0.5000 0.5000 0.5000  2 As 3.05, 8 Te 3.41
As1 0.5000 0.5000 0.0000  2 Sr 3.05, 8 Te 3.37

Summary:
**Total DFT energy (no corrections)**: -3.92 eV per atom
**Formation energy from raw total energies**: -0.417 eV/atom